Here is KCr3P after structural relaxation from Alexandria via LeMat-Bulk. Energies are from PBE-GGA.

Lattice parameters (Å, degrees): 5.2326 5.2326 5.2326 90.00 90.00 90.00
Atoms (fractional coordinates):
K1 0.0000 0.0000 0.0000
Cr1 0.0000 0.0000 0.5000
Cr2 0.0000 0.5000 0.0000
Cr3 0.5000 0.0000 0.0000
P1 0.5000 0.5000 0.5000

As for the energy above the lowest structure with this stoichiometry: 1721.6 meV/atom. As for the energy relative to the elements: 12.45 eV/f.u. Its space-group type is Pm-3m, No. 221.



Here is BaCoBi3 after structural relaxation from Alexandria via LeMat-Bulk. Energies are from PBE-GGA.

Lattice parameters (Å, degrees): 5.3751 5.3751 5.3751 90.00 90.00 90.00
Atoms (fractional coordinates):
Ba1 0.0000 0.0000 0.0000
Co1 0.5000 0.5000 0.5000
Bi1 0.0000 0.5000 0.5000
Bi2 0.5000 0.0000 0.5000
Bi3 0.5000 0.5000 0.0000

As for the energy relative to the elements: -0.49 eV/f.u. Its space-group type is Pm-3m, No. 221.



Here is TlPd3O6 after structural relaxation from Alexandria via LeMat-Bulk. Energies are from PBE-GGA.

Lattice parameters (Å, degrees): 6.2829 6.2829 3.3650 90.00 90.00 109.79
Atoms (fractional coordinates):
Tl1 0.0000 0.0000 0.0000
Pd1 0.0000 0.5000 0.5000
Pd2 0.5000 0.0000 0.5000
Pd3 0.5000 0.5000 0.0000
O1 0.1608 0.8392 0.5000
O2 0.1658 0.4264 0.0000
O3 0.4264 0.1658 0.0000
O4 0.5736 0.8342 0.0000
O5 0.8342 0.5736 0.0000
O6 0.8392 0.1608 0.5000

The value obtained for the formation energy (no corrections) is -515 meV/atom. Its space-group type is Cmmm, No. 65.



Here is K8InS6 after structural relaxation from Alexandria via LeMat-Bulk. Energies are from PBE-GGA.

Lattice parameters (Å, degrees): 9.6949 7.9248 12.8387 90.00 90.00 90.00
Atoms (fractional coordinates):
K1 0.0000 0.0919 0.0713
K2 0.0000 0.0960 0.5000
K3 0.1816 0.4731 0.7086
K4 0.1928 0.6317 0.4405
K5 0.2005 0.9365 0.7899
K6 0.2995 0.0635 0.2899
K7 0.3072 0.3683 0.9405
K8 0.3184 0.5269 0.2086
K9 0.5000 0.9040 0.0000
K10 0.5000 0.9081 0.5713
K11 0.6816 0.5269 0.2086
K12 0.6928 0.3683 0.9405
K13 0.7005 0.0635 0.2899
K14 0.7995 0.9365 0.7899
K15 0.8072 0.6317 0.4405
K16 0.8184 0.4731 0.7086
In1 0.0000 0.6752 0.1231
In2 0.5000 0.3248 0.6231
S1 0.0000 0.2411 0.8500
S2 0.0000 0.4112 0.2314
S3 0.0000 0.7604 0.6232
S4 0.0000 0.8712 0.2835
S5 0.2087 0.7383 0.0182
S6 0.2913 0.2617 0.5182
S7 0.5000 0.1288 0.7835
S8 0.5000 0.2396 0.1232
S9 0.5000 0.5888 0.7314
S10 0.5000 0.7589 0.3500
S11 0.7087 0.2617 0.5182
S12 0.7913 0.7383 0.0182

The value obtained for the formation energy (no corrections) is -942 meV/atom. Its space-group type is Pmn2_1, No. 31.



Please write out number 3 again, unchanged.
Here is TlPd3O6 after structural relaxation from Alexandria via LeMat-Bulk. Energies are from PBE-GGA.

Lattice parameters (Å, degrees): 6.2829 6.2829 3.3650 90.00 90.00 109.79
Atoms (fractional coordinates):
Tl1 0.0000 0.0000 0.0000
Pd1 0.0000 0.5000 0.5000
Pd2 0.5000 0.0000 0.5000
Pd3 0.5000 0.5000 0.0000
O1 0.1608 0.8392 0.5000
O2 0.1658 0.4264 0.0000
O3 0.4264 0.1658 0.0000
O4 0.5736 0.8342 0.0000
O5 0.8342 0.5736 0.0000
O6 0.8392 0.1608 0.5000

The value obtained for the formation energy (no corrections) is -515 meV/atom. Its space-group type is Cmmm, No. 65.